[1]
Material: CsAuO3
Method: DFT, GGA-PBE
State: relaxed

a = 3.9408 Å, b = 3.9408 Å, c = 5.7790 Å
α = 90.00°, β = 90.00°, γ = 90.00°
Last column: nearest neighbours and their distance in Å.
Positions (direct):
Cs  0.0000  0.0000  0.0000  8 O 2.93-3.13
Au  0.5000  0.5000  0.4975  5 O 1.96-2.03
O  0.0000  0.5000  0.5789  2 Au 2.03
O  0.5000  0.0000  0.5789  2 Au 2.03
O  0.5000  0.5000  0.1587  1 Au 1.96

Output
total DFT energy (no corrections)	-19.37	eV per formula unit
space group	No. 99

[2]
Material: Cs2AuO4
Method: DFT, GGA-PBE
State: relaxed

a = 7.6235 Å, b = 7.6235 Å, c = 7.6235 Å
α = 119.91°, β = 119.91°, γ = 90.15°
Last column: nearest neighbours and their distance in Å.
Positions (direct):
Cs  0.0000  0.0000  0.0000  6 O 2.95
Cs  0.0000  0.0000  0.5000  6 O 2.95
Cs  0.0000  0.5000  0.0000  6 O 2.95
Cs  0.5000  0.0000  0.5000  6 O 2.95
Au  0.3750  0.6250  0.7500  4 O 1.93
Au  0.6250  0.3750  0.2500  4 O 1.93
O  0.2706  0.7281  0.5425  1 Au 1.93
O  0.2719  0.3144  0.5425  1 Au 1.93
O  0.2719  0.7294  0.9575  1 Au 1.93
O  0.3144  0.2719  0.0425  1 Au 1.93
O  0.6856  0.7281  0.9575  1 Au 1.93
O  0.7281  0.2706  0.0425  1 Au 1.93
O  0.7281  0.6856  0.4575  1 Au 1.93
O  0.7294  0.2719  0.4575  1 Au 1.93

Output
total DFT energy (no corrections)	-25.81	eV per formula unit
space group	No. 141

[3]
Material: Cs2AuO2
Method: DFT, GGA-PBE
State: relaxed

a = 5.5702 Å, b = 5.5702 Å, c = 6.3083 Å
α = 105.38°, β = 105.38°, γ = 37.58°
Last column: nearest neighbours and their distance in Å.
Positions (direct):
Cs  0.1694  0.1694  0.1980  5 O 2.90-3.24
Cs  0.8306  0.8306  0.8020  5 O 2.90-3.24
Au  0.5000  0.5000  0.5000  4 O 2.22
O  0.1060  0.1060  0.6702  2 Au 2.22
O  0.8940  0.8940  0.3298  2 Au 2.22

Output
total DFT energy (no corrections)	-18.33	eV per formula unit
space group	No. 12

Look up the total DFT energy (no corrections) of the third one. -18.33 eV per formula unit

Which of these has the lowest total DFT energy (no corrections)? Cs2AuO4